1.
An optimized crystal structure of AcNbN4, computed with PBE.

Output
Total DFT energy (no corrections), eV per cell: -49.98
Raw formation energy, eV/atom: -0.42
ρ, g/cm3: 7.41
SG: No. 10
D(E_F), states/eV per cell: 2.4

Cell and atoms, written as POSCAR:
```
AcNbN4
1.0
4.256 0.001 -0.003
-0.001 4.216 0.066
0.003 0.079 4.694
N Nb Ac
4 1 1
direct
0.001 0.473 0.350
0.501 0.065 0.628
0.001 0.522 0.646
0.501 0.930 0.369
0.001 0.997 0.498
0.501 0.497 0.998
```


2.
An optimized crystal structure of AcNb2N4, computed with PBE.

Output
Total DFT energy (no corrections), eV per cell: -129.21
Raw formation energy, eV/atom: -1.01
ρ, g/cm3: 8.40
SG: No. 63
D(E_F), states/eV per cell: 2.3

Cell and atoms, written as POSCAR:
```
AcNb2N4
1.0
-3.230 0.232 0.518
0.780 -0.191 -5.439
-0.729 -10.742 0.272
N Nb Ac
8 4 2
direct
0.500 0.000 0.000
0.919 0.838 0.750
0.081 0.162 0.250
0.500 0.000 0.500
0.235 0.470 0.604
0.765 0.530 0.104
0.765 0.530 0.396
0.235 0.470 0.896
0.871 0.741 0.938
0.129 0.259 0.438
0.871 0.741 0.562
0.129 0.259 0.062
0.615 0.230 0.750
0.385 0.770 0.250
```


3.
An optimized crystal structure of AcNb2N5, computed with PBE.

Output
Total DFT energy (no corrections), eV per cell: -140.03
Raw formation energy, eV/atom: -0.52
ρ, g/cm3: 7.84
SG: No. 140
D(E_F), states/eV per cell: 9.9

Cell and atoms, written as POSCAR:
```
AcNb2N5
1.0
-4.254 2.427 -3.347
-1.837 -5.412 -1.589
-0.584 1.392 7.008
Ac N Nb
2 10 4
direct
0.750 0.750 0.500
0.250 0.250 0.500
0.027 0.527 0.767
0.973 0.473 0.233
0.473 0.261 0.233
0.261 0.761 0.233
0.739 0.239 0.767
0.000 0.000 0.000
0.500 0.500 0.000
0.239 0.027 0.767
0.527 0.739 0.767
0.761 0.973 0.233
0.666 0.166 0.000
0.166 0.334 0.000
0.834 0.666 0.000
0.334 0.834 0.000
```


no.,magnetic moment (μB/f.u.)
1,0.00
2,0.00
3,1.14